[1]
Here is crystalline NbHRh3 at its relaxed geometry from Alexandria. Energies are from PBE-GGA.

Cell: 5.6003 4.9546 4.4728 Å, 89.64 90.00 90.00°
Element x y z (fractional)
H (0.6411, 0.4968, 0.6379)
H (0.1412, 0.4907, 0.7267)
Nb (0.1411, 0.1502, 0.4231)
Nb (0.6411, 0.8373, 0.9419)
Rh (0.6411, 0.1554, 0.4332)
Rh (0.3964, 0.3227, 0.9359)
Rh (0.8965, 0.6648, 0.4292)
Rh (0.3858, 0.6648, 0.4292)
Rh (0.8858, 0.3227, 0.9360)
Rh (0.1411, 0.8321, 0.9320)

SG ... P2_1/m (11)
Distance to the lowest polymorph of the same formula ... 0.030 eV/atom
Size of the total moment ... 0.000 μB/atom

---

[2]
Here is crystalline Pr3RhBr2 at its relaxed geometry from Alexandria. Energies are from PBE-GGA.

Cell: 4.0118 6.1587 8.1392 Å, 112.23 104.27 90.00°
Element x y z (fractional)
Pr (0.6301, 0.6301, 0.2603)
Pr (0.0000, 0.0000, 0.0000)
Pr (0.3699, 0.3699, 0.7397)
Rh (0.0000, 0.5000, 0.0000)
Br (0.3206, 0.8206, 0.6412)
Br (0.6794, 0.1794, 0.3588)

SG ... Immm (71)
Uncorrected formation energy ... -6.409 eV per formula unit
Size of the total moment ... 0.078 μB/atom

---

[3]
Here is crystalline BeOsRu at its relaxed geometry from Alexandria. Energies are from PBE-GGA.

Cell: 6.4392 6.2046 2.6429 Å, 82.96 73.00 24.04°
Element x y z (fractional)
Ru (0.3455, 0.3455, 0.6545)
Os (0.6558, 0.6558, 0.3442)
Be (0.9987, 0.9987, 0.0013)

SG ... Fmm2 (42)
Energy of formation from the pure elements ... 0.2974 eV per atom
Size of the total moment ... 0.000 μB/atom

---

[4]
Here is crystalline LiAl2In at its relaxed geometry from Alexandria. Energies are from PBE-GGA.

Cell: 9.5218 9.5218 9.5218 Å, 18.82 18.82 18.82°
Element x y z (fractional)
Al (0.0042, 0.0042, 0.0042)
Al (0.4958, 0.4958, 0.4958)
In (0.2500, 0.2500, 0.2500)
Li (0.7500, 0.7500, 0.7500)

SG ... R-3m (166)
Energy of formation from the pure elements ... 0.0494 eV per atom
Size of the total moment ... 0.000 μB/atom